Record 1
VASP calculation (GGA-PBE) on an optimized crystal structure of SrSi3Au.

Values from the calculation:
ΔE_f (raw)   -0.358 eV per atom
Symmetry   I4mm, No. 107
Spin magnetization   0.000 μB per cell
Total energy   -23.02 eV for the cell shown

Unit cell a=5.8582 b=5.8582 c=5.8582 alpha=135.04 beta=135.04 gamma=65.47
Sites, in units of the cell vectors:
Sr: 0.0000 0.0000 0.0000
Si: 0.2437 0.7437 0.5000
Si: 0.6265 0.6265 0.0000
Si: 0.7437 0.2437 0.5000
Au: 0.3678 0.3678 0.0000


Record 2
VASP calculation (GGA-PBE) on an optimized crystal structure of ZnSBrN2.

Values from the calculation:
Relative energy among the computed polymorphs   7.41 kcal/mol of atoms
ΔE_f (raw)   1.925 eV per atom
Symmetry   P4/mmm, No. 123
Spin magnetization   0.736 μB per cell
Total energy   -14.10 eV for the cell shown

Unit cell a=3.7178 b=3.7178 c=7.5830 alpha=90.00 beta=90.00 gamma=90.00
Sites, in units of the cell vectors:
Zn: 0.0000 0.0000 0.0000
S: 0.5000 0.5000 0.0000
Br: 0.5000 0.5000 0.5000
N: 0.0000 0.5000 0.5000
N: 0.5000 0.0000 0.5000


Record 3
VASP calculation (GGA-PBE) on an optimized crystal structure of LaCd6Ag4.

Values from the calculation:
Relative energy among the computed polymorphs   0.00 kcal/mol of atoms
Formation enthalpy at 0 K   -0.13 eV per atom
Symmetry   P-6m2, No. 187
Spin magnetization   0.000 μB per cell
Total energy   -23.24 eV for the cell shown

Unit cell a=7.9906 b=7.9906 c=4.5056 alpha=90.00 beta=90.00 gamma=120.00
Sites, in units of the cell vectors:
La: 0.0000 0.0000 0.0000
Cd: 0.2008 0.4017 0.5000
Cd: 0.2008 0.7992 0.5000
Cd: 0.5358 0.0716 0.0000
Cd: 0.5358 0.4642 0.0000
Cd: 0.5983 0.7992 0.5000
Cd: 0.9284 0.4642 0.0000
Ag: 0.3333 0.6667 0.0000
Ag: 0.4049 0.2025 0.5000
Ag: 0.7975 0.2025 0.5000
Ag: 0.7975 0.5951 0.5000


Record 4
VASP calculation (GGA-PBE) on an optimized crystal structure of BeIn3Ru.

Values from the calculation:
Relative energy among the computed polymorphs   5.87 kcal/mol of atoms
Formation enthalpy at 0 K   0.87 eV per atom
Symmetry   Pm-3m, No. 221
Spin magnetization   0.875 μB per cell
Total energy   -16.87 eV for the cell shown

Unit cell a=4.6855 b=4.6855 c=4.6855 alpha=90.00 beta=90.00 gamma=90.00
Sites, in units of the cell vectors:
Be: 0.0000 0.0000 0.0000
In: 0.0000 0.0000 0.5000
In: 0.0000 0.5000 0.0000
In: 0.5000 0.0000 0.0000
Ru: 0.5000 0.5000 0.5000


Record 5
VASP calculation (GGA-PBE) on an optimized crystal structure of LaMn2Au.

Values from the calculation:
Formation enthalpy at 0 K   0.14 eV per atom
Symmetry   P4/mmm, No. 123
Spin magnetization   7.630 μB per cell
Total energy   -26.00 eV for the cell shown

Unit cell a=3.4074 b=3.4074 c=7.1074 alpha=90.00 beta=90.00 gamma=90.00
Sites, in units of the cell vectors:
La: 0.0000 0.0000 0.0000
Mn: 0.5000 0.5000 0.3032
Mn: 0.5000 0.5000 0.6968
Au: 0.0000 0.0000 0.5000


Record 6
VASP calculation (GGA-PBE) on an optimized crystal structure of Ba8TlPd2Rh.

Values from the calculation:
Formation enthalpy at 0 K   -0.30 eV per atom
Symmetry   P2/m, No. 10
Spin magnetization   0.000 μB per cell
Total energy   -39.04 eV for the cell shown

Unit cell a=7.5635 b=9.8397 c=7.7039 alpha=90.00 beta=91.10 gamma=90.00
Sites, in units of the cell vectors:
Ba: 0.2120 0.0000 0.3450
Ba: 0.2342 0.5000 0.3200
Ba: 0.2723 0.2771 0.8268
Ba: 0.2723 0.7229 0.8268
Ba: 0.7277 0.2771 0.1732
Ba: 0.7277 0.7229 0.1732
Ba: 0.7658 0.5000 0.6800
Ba: 0.7880 0.0000 0.6550
Tl: 0.5000 0.0000 0.0000
Pd: 0.0000 0.2564 0.5000
Pd: 0.0000 0.7436 0.5000
Rh: 0.5000 0.5000 0.0000